[1]
A plane-wave DFT calculation with PBE was carried out for an optimized crystal structure of TeHRh2. Values from VASP.

Geometry as Quantum ESPRESSO input:
```
&SYSTEM
  ibrav = 0, nat = 8, ntyp = 3
/
ATOMIC_SPECIES
Te 127.60 Te.upf
H 1.01 H.upf
Rh 102.91 Rh.upf
CELL_PARAMETERS angstrom
-2.5177 2.5177 4.7172
2.5177 -2.5177 4.7172
2.5177 2.5177 -4.7172
ATOMIC_POSITIONS crystal
Te 0.0000 0.0000 0.0000
Te 0.7500 0.2500 0.5000
H 0.2500 0.7500 0.5000
H 0.5000 0.5000 0.0000
Rh 0.2528 0.6250 0.1278
Rh 0.3750 0.5028 0.6278
Rh 0.4972 0.1250 0.8722
Rh 0.8750 0.7472 0.3722
```

Summary:
**Crystal system**: tetragonal
**Total magnetization**: 0.0 μB/f.u.
**Excess energy over the best structure of this formula in the dataset**: 0.00 kcal/mol of atoms
**Calculated density**: 9.3 g/cm³

[2]
A plane-wave DFT calculation with PBE was carried out for an optimized crystal structure of TeHRh2. Values from VASP.

Geometry as Quantum ESPRESSO input:
```
&SYSTEM
  ibrav = 0, nat = 4, ntyp = 3
/
ATOMIC_SPECIES
Te 127.60 Te.upf
H 1.01 H.upf
Rh 102.91 Rh.upf
CELL_PARAMETERS angstrom
2.2260 1.2852 4.3902
-2.2260 1.2852 4.3902
0.0000 -2.5704 4.3902
ATOMIC_POSITIONS crystal
Te 0.0000 0.0000 0.0000
H 0.5000 0.5000 0.5000
Rh 0.3731 0.3731 0.3731
Rh 0.6269 0.6269 0.6269
```

Summary:
**Crystal system**: trigonal
**Total magnetization**: 0.0 μB/f.u.
**Excess energy over the best structure of this formula in the dataset**: 2.96 kcal/mol of atoms
**Calculated density**: 7.4 g/cm³

[3]
A plane-wave DFT calculation with PBE was carried out for an optimized crystal structure of TeHRh2. Values from VASP.

Geometry as Quantum ESPRESSO input:
```
&SYSTEM
  ibrav = 0, nat = 4, ntyp = 3
/
ATOMIC_SPECIES
Te 127.60 Te.upf
H 1.01 H.upf
Rh 102.91 Rh.upf
CELL_PARAMETERS angstrom
0.0000 3.0520 3.0520
3.0520 0.0000 3.0520
3.0520 3.0520 0.0000
ATOMIC_POSITIONS crystal
Te 0.0000 0.0000 0.0000
H 0.5000 0.5000 0.5000
Rh 0.2500 0.2500 0.2500
Rh 0.7500 0.7500 0.7500
```

Summary:
**Crystal system**: cubic
**Total magnetization**: 0.0 μB/f.u.
**Excess energy over the best structure of this formula in the dataset**: 7.94 kcal/mol of atoms
**Calculated density**: 9.8 g/cm³

[4]
A plane-wave DFT calculation with PBE was carried out for an optimized crystal structure of TeH2Rh2. Values from VASP.

Geometry as Quantum ESPRESSO input:
```
&SYSTEM
  ibrav = 0, nat = 10, ntyp = 3
/
ATOMIC_SPECIES
Te 127.60 Te.upf
H 1.01 H.upf
Rh 102.91 Rh.upf
CELL_PARAMETERS angstrom
6.7509 0.0000 0.0000
0.0000 6.7509 0.0000
0.0000 0.0000 2.9212
ATOMIC_POSITIONS crystal
Te 0.0000 0.0000 0.0000
Te 0.5000 0.5000 0.0000
H 0.0583 0.4417 0.5000
H 0.4417 0.9417 0.5000
H 0.5583 0.0583 0.5000
H 0.9417 0.5583 0.5000
Rh 0.1361 0.6361 0.0000
Rh 0.3639 0.1361 0.0000
Rh 0.6361 0.8639 0.0000
Rh 0.8639 0.3639 0.0000
```

Summary:
**Crystal system**: tetragonal
**Total magnetization**: 0.0 μB/f.u.
**Excess energy over the best structure of this formula in the dataset**: 7.73 kcal/mol of atoms
**Calculated density**: 8.4 g/cm³

[5]
A plane-wave DFT calculation with PBE was carried out for an optimized crystal structure of TeH2Rh2. Values from VASP.

Geometry as Quantum ESPRESSO input:
```
&SYSTEM
  ibrav = 0, nat = 5, ntyp = 3
/
ATOMIC_SPECIES
Te 127.60 Te.upf
H 1.01 H.upf
Rh 102.91 Rh.upf
CELL_PARAMETERS angstrom
-1.6373 1.6373 5.3724
1.6373 -1.6373 5.3724
1.6373 1.6373 -5.3724
ATOMIC_POSITIONS crystal
Te 0.0000 0.0000 0.0000
H 0.2500 0.7500 0.5000
H 0.7500 0.2500 0.5000
Rh 0.3435 0.3435 0.0000
Rh 0.6565 0.6565 0.0000
```

Summary:
**Crystal system**: tetragonal
**Total magnetization**: 0.0 μB/f.u.
**Excess energy over the best structure of this formula in the dataset**: 0.00 kcal/mol of atoms
**Calculated density**: 9.7 g/cm³

[6]
A plane-wave DFT calculation with PBE was carried out for an optimized crystal structure of Te3H5Rh12. Values from VASP.

Geometry as Quantum ESPRESSO input:
```
&SYSTEM
  ibrav = 0, nat = 80, ntyp = 3
/
ATOMIC_SPECIES
Te 127.60 Te.upf
H 1.01 H.upf
Rh 102.91 Rh.upf
CELL_PARAMETERS angstrom
-6.3952 6.3952 6.3952
6.3952 -6.3952 6.3952
6.3952 6.3952 -6.3952
ATOMIC_POSITIONS crystal
Te 0.1250 0.2500 0.3750
Te 0.1250 0.3750 0.7500
Te 0.2500 0.3750 0.1250
Te 0.2500 0.8750 0.6250
Te 0.3750 0.1250 0.2500
Te 0.3750 0.7500 0.1250
Te 0.6250 0.2500 0.8750
Te 0.6250 0.8750 0.7500
Te 0.7500 0.1250 0.3750
Te 0.7500 0.6250 0.8750
Te 0.8750 0.6250 0.2500
Te 0.8750 0.7500 0.6250
H 0.0000 0.0000 0.0000
H 0.0000 0.0000 0.5000
H 0.0000 0.5000 0.0000
H 0.0000 0.5000 0.5000
H 0.1250 0.7500 0.8750
H 0.1250 0.8750 0.2500
H 0.2500 0.1250 0.8750
H 0.2500 0.6250 0.3750
H 0.3750 0.2500 0.6250
H 0.3750 0.6250 0.7500
H 0.5000 0.0000 0.0000
H 0.5000 0.0000 0.5000
H 0.5000 0.5000 0.0000
H 0.5000 0.5000 0.5000
H 0.6250 0.3750 0.2500
H 0.6250 0.7500 0.3750
H 0.7500 0.3750 0.6250
H 0.7500 0.8750 0.1250
H 0.8750 0.1250 0.7500
H 0.8750 0.2500 0.1250
Rh 0.0090 0.1948 0.1043
Rh 0.0090 0.3143 0.9047
Rh 0.0904 0.6948 0.6857
Rh 0.0904 0.8957 0.4047
Rh 0.0953 0.6043 0.4096
Rh 0.0953 0.9910 0.6857
Rh 0.1043 0.0090 0.1948
Rh 0.1043 0.5953 0.9096
Rh 0.1857 0.1948 0.5904
Rh 0.1857 0.4910 0.5953
Rh 0.1948 0.1043 0.0090
Rh 0.1948 0.5904 0.1857
Rh 0.3052 0.3143 0.9096
Rh 0.3052 0.4910 0.3957
Rh 0.3143 0.9047 0.0090
Rh 0.3143 0.9096 0.3052
Rh 0.3957 0.3052 0.4910
Rh 0.3957 0.5904 0.9047
Rh 0.4047 0.0904 0.8957
Rh 0.4047 0.8143 0.5090
Rh 0.4096 0.0953 0.6043
Rh 0.4096 0.8143 0.8052
Rh 0.4910 0.3957 0.3052
Rh 0.4910 0.5953 0.1857
Rh 0.5090 0.4047 0.8143
Rh 0.5090 0.6043 0.6948
Rh 0.5904 0.1857 0.1948
Rh 0.5904 0.9047 0.3957
Rh 0.5953 0.1857 0.4910
Rh 0.5953 0.9096 0.1043
Rh 0.6043 0.4096 0.0953
Rh 0.6043 0.6948 0.5090
Rh 0.6857 0.0904 0.6948
Rh 0.6857 0.0953 0.9910
Rh 0.6948 0.5090 0.6043
Rh 0.6948 0.6857 0.0904
Rh 0.8052 0.4096 0.8143
Rh 0.8052 0.8957 0.9910
Rh 0.8143 0.5090 0.4047
Rh 0.8143 0.8052 0.4096
Rh 0.8957 0.4047 0.0904
Rh 0.8957 0.9910 0.8052
Rh 0.9047 0.0090 0.3143
Rh 0.9047 0.3957 0.5904
Rh 0.9096 0.1043 0.5953
Rh 0.9096 0.3052 0.3143
Rh 0.9910 0.6857 0.0953
Rh 0.9910 0.8052 0.8957
```

Summary:
**Electronic total energy**: -457.0 eV for the cell shown
**Crystal system**: cubic
**Total magnetization**: 0.0 μB/f.u.
**Calculated density**: 10.3 g/cm³

[7]
A plane-wave DFT calculation with PBE was carried out for an optimized crystal structure of TeH2Rh. Values from VASP.

Geometry as Quantum ESPRESSO input:
```
&SYSTEM
  ibrav = 0, nat = 4, ntyp = 3
/
ATOMIC_SPECIES
Te 127.60 Te.upf
H 1.01 H.upf
Rh 102.91 Rh.upf
CELL_PARAMETERS angstrom
0.0000 2.8424 2.8424
2.8424 0.0000 2.8424
2.8424 2.8424 0.0000
ATOMIC_POSITIONS crystal
Te 0.0000 0.0000 0.0000
H 0.2500 0.2500 0.2500
H 0.7500 0.7500 0.7500
Rh 0.5000 0.5000 0.5000
```

Summary:
**Crystal system**: cubic
**Total magnetization**: 0.0 μB/f.u.
**Excess energy over the best structure of this formula in the dataset**: 16.34 kcal/mol of atoms
**Calculated density**: 8.4 g/cm³

[8]
A plane-wave DFT calculation with PBE was carried out for an optimized crystal structure of TeH2Rh. Values from VASP.

Geometry as Quantum ESPRESSO input:
```
&SYSTEM
  ibrav = 0, nat = 8, ntyp = 3
/
ATOMIC_SPECIES
Te 127.60 Te.upf
H 1.01 H.upf
Rh 102.91 Rh.upf
CELL_PARAMETERS angstrom
1.7302 -6.6784 0.0000
1.7302 6.6784 0.0000
-1.5845 0.0000 5.0594
ATOMIC_POSITIONS crystal
Te 0.1873 0.8127 0.7500
Te 0.8127 0.1873 0.2500
H 0.3617 0.4971 0.9188
H 0.4971 0.3617 0.4188
H 0.5029 0.6383 0.5812
H 0.6383 0.5029 0.0812
Rh 0.4551 0.5449 0.2500
Rh 0.5449 0.4551 0.7500
```

Summary:
**Crystal system**: monoclinic
**Total magnetization**: 0.0 μB/f.u.
**Excess energy over the best structure of this formula in the dataset**: 0.00 kcal/mol of atoms
**Calculated density**: 6.6 g/cm³

[9]
A plane-wave DFT calculation with PBE was carried out for an optimized crystal structure of TeH3Rh. Values from VASP.

Geometry as Quantum ESPRESSO input:
```
&SYSTEM
  ibrav = 0, nat = 5, ntyp = 3
/
ATOMIC_SPECIES
Te 127.60 Te.upf
H 1.01 H.upf
Rh 102.91 Rh.upf
CELL_PARAMETERS angstrom
3.7128 0.0000 0.0000
0.0000 3.7128 0.0000
0.0000 0.0000 3.7128
ATOMIC_POSITIONS crystal
Te 0.0000 0.0000 0.0000
H 0.0000 0.5000 0.5000
H 0.5000 0.0000 0.5000
H 0.5000 0.5000 0.0000
Rh 0.5000 0.5000 0.5000
```

Summary:
**Crystal system**: cubic
**Total magnetization**: 0.0 μB/f.u.
**Excess energy over the best structure of this formula in the dataset**: 0.00 kcal/mol of atoms
**Calculated density**: 7.6 g/cm³

[10]
A plane-wave DFT calculation with PBE was carried out for an optimized crystal structure of Te3HRh. Values from VASP.

Geometry as Quantum ESPRESSO input:
```
&SYSTEM
  ibrav = 0, nat = 5, ntyp = 3
/
ATOMIC_SPECIES
Te 127.60 Te.upf
H 1.01 H.upf
Rh 102.91 Rh.upf
CELL_PARAMETERS angstrom
5.2658 0.0000 0.0000
0.0000 5.2658 0.0000
0.0000 0.0000 5.2658
ATOMIC_POSITIONS crystal
Te 0.0000 0.0000 0.5000
Te 0.0000 0.5000 0.0000
Te 0.5000 0.0000 0.0000
H 0.5000 0.5000 0.5000
Rh 0.0000 0.0000 0.0000
```

Summary:
**Crystal system**: cubic
**Total magnetization**: 1.0 μB/f.u.
**Excess energy over the best structure of this formula in the dataset**: 0.00 kcal/mol of atoms
**Calculated density**: 5.5 g/cm³

[11]
A plane-wave DFT calculation with PBE was carried out for an optimized crystal structure of Te3H12Rh5. Values from VASP.

Geometry as Quantum ESPRESSO input:
```
&SYSTEM
  ibrav = 0, nat = 80, ntyp = 3
/
ATOMIC_SPECIES
Te 127.60 Te.upf
H 1.01 H.upf
Rh 102.91 Rh.upf
CELL_PARAMETERS angstrom
-5.8943 5.8943 5.8943
5.8943 -5.8943 5.8943
5.8943 5.8943 -5.8943
ATOMIC_POSITIONS crystal
Te 0.1250 0.2500 0.3750
Te 0.1250 0.3750 0.7500
Te 0.2500 0.3750 0.1250
Te 0.2500 0.8750 0.6250
Te 0.3750 0.1250 0.2500
Te 0.3750 0.7500 0.1250
Te 0.6250 0.2500 0.8750
Te 0.6250 0.8750 0.7500
Te 0.7500 0.1250 0.3750
Te 0.7500 0.6250 0.8750
Te 0.8750 0.6250 0.2500
Te 0.8750 0.7500 0.6250
H 0.0188 0.6921 0.0874
H 0.0188 0.8267 0.9313
H 0.0687 0.5874 0.8954
H 0.0687 0.9812 0.1733
H 0.0874 0.0188 0.6921
H 0.0874 0.5687 0.3954
H 0.1046 0.6733 0.6921
H 0.1046 0.9313 0.4126
H 0.1733 0.0687 0.9812
H 0.1733 0.6046 0.1921
H 0.1921 0.1733 0.6046
H 0.1921 0.5188 0.5874
H 0.3079 0.8954 0.3267
H 0.3079 0.9126 0.9812
H 0.3267 0.3079 0.8954
H 0.3267 0.5188 0.4313
H 0.3954 0.0874 0.5687
H 0.3954 0.8079 0.8267
H 0.4126 0.1046 0.9313
H 0.4126 0.8079 0.4812
H 0.4313 0.3267 0.5188
H 0.4313 0.6046 0.9126
H 0.4812 0.4126 0.8079
H 0.4812 0.5687 0.6733
H 0.5188 0.4313 0.3267
H 0.5188 0.5874 0.1921
H 0.5687 0.3954 0.0874
H 0.5687 0.6733 0.4812
H 0.5874 0.1921 0.5188
H 0.5874 0.8954 0.0687
H 0.6046 0.1921 0.1733
H 0.6046 0.9126 0.4313
H 0.6733 0.4812 0.5687
H 0.6733 0.6921 0.1046
H 0.6921 0.0874 0.0188
H 0.6921 0.1046 0.6733
H 0.8079 0.4812 0.4126
H 0.8079 0.8267 0.3954
H 0.8267 0.3954 0.8079
H 0.8267 0.9313 0.0188
H 0.8954 0.0687 0.5874
H 0.8954 0.3267 0.3079
H 0.9126 0.4313 0.6046
H 0.9126 0.9812 0.3079
H 0.9313 0.0188 0.8267
H 0.9313 0.4126 0.1046
H 0.9812 0.1733 0.0687
H 0.9812 0.3079 0.9126
Rh 0.0000 0.0000 0.0000
Rh 0.0000 0.0000 0.5000
Rh 0.0000 0.5000 0.0000
Rh 0.0000 0.5000 0.5000
Rh 0.1250 0.7500 0.8750
Rh 0.1250 0.8750 0.2500
Rh 0.2500 0.1250 0.8750
Rh 0.2500 0.6250 0.3750
Rh 0.3750 0.2500 0.6250
Rh 0.3750 0.6250 0.7500
Rh 0.5000 0.0000 0.0000
Rh 0.5000 0.0000 0.5000
Rh 0.5000 0.5000 0.0000
Rh 0.5000 0.5000 0.5000
Rh 0.6250 0.3750 0.2500
Rh 0.6250 0.7500 0.3750
Rh 0.7500 0.3750 0.6250
Rh 0.7500 0.8750 0.1250
Rh 0.8750 0.1250 0.7500
Rh 0.8750 0.2500 0.1250
```

Summary:
**Electronic total energy**: -320.6 eV for the cell shown
**Crystal system**: cubic
**Total magnetization**: 0.0 μB/f.u.
**Calculated density**: 7.4 g/cm³

[12]
A plane-wave DFT calculation with PBE was carried out for an optimized crystal structure of Te3HRh. Values from VASP.

Geometry as Quantum ESPRESSO input:
```
&SYSTEM
  ibrav = 0, nat = 5, ntyp = 3
/
ATOMIC_SPECIES
Te 127.60 Te.upf
H 1.01 H.upf
Rh 102.91 Rh.upf
CELL_PARAMETERS angstrom
4.6057 0.0000 0.0000
0.0000 4.6057 0.0000
0.0000 0.0000 4.6057
ATOMIC_POSITIONS crystal
Te 0.0000 0.0000 0.5000
Te 0.0000 0.5000 0.0000
Te 0.5000 0.0000 0.0000
H 0.0000 0.0000 0.0000
Rh 0.5000 0.5000 0.5000
```

Summary:
**Crystal system**: cubic
**Total magnetization**: 0.0 μB/f.u.
**Excess energy over the best structure of this formula in the dataset**: 0.22 kcal/mol of atoms
**Calculated density**: 8.3 g/cm³

Which of these has the highest calculated density?
Te3H5Rh12